No. 1
SrMn2Cd: relaxed, GGA-PBEsol.

Output
For the formation energy, the calculation gives 0.699 eV per atom. The uncorrected energy is -19.76 eV/cell. The magnetic moment comes out at 7.43 μB/f.u.

abc: 3.869 4.248 6.457
angles: 109.20 107.43 90.00
Site moments in Bohr magnetons follow the coordinates.
Element x y z (fractional)
Mn: 0.727 0.227 0.454  3.58
Mn: 0.082 0.082 0.165  3.54
Sr: 0.464 0.464 0.927  -0.01
Cd: 0.227 0.727 0.454  -0.06

No. 2
HgPbBr2: relaxed, GGA-PBEsol.

Output
The energy relative to the elements, uncorrected comes out at -2.16 eV per formula unit. The uncorrected energy is -10.47 eV/cell. The magnetic moment comes out at 0.00 μB/f.u.

abc: 4.315 4.312 9.266
angles: 103.32 90.00 120.03
Element x y z (fractional)
Br: 0.229 0.459 0.191
Br: 0.771 0.541 0.809
Pb: 0.500 0.000 0.000
Hg: 0.000 0.000 0.500

No. 3
BeIr2Os: relaxed, GGA-PBEsol.

Output
For the formation energy, the calculation gives -0.046 eV per atom. The uncorrected energy is -36.04 eV/cell. The magnetic moment comes out at 0.00 μB/f.u.

abc: 2.701 3.879 5.089
angles: 90.00 105.31 90.00
Element x y z (fractional)
Ir: 0.445 0.500 0.262
Ir: 0.806 0.000 0.984
Os: 0.075 0.000 0.523
Be: 0.673 0.500 0.731

No. 4
Sc3HPb: relaxed, GGA-PBEsol.

Output
The uncorrected energy is -29.31 eV/cell. The magnetic moment comes out at 0.97 μB/f.u.

abc: 4.459 4.459 4.459
angles: 90.00 90.00 90.00
Site moments in Bohr magnetons follow the coordinates.
Element x y z (fractional)
Sc: 0.000 0.500 0.000  0.22
Sc: 0.000 0.000 0.500  0.22
Sc: 0.500 0.000 0.000  0.22
Pb: 0.500 0.500 0.500  0.00
H: 0.000 0.000 0.000  0.00

No. 5
Co2HgO4: relaxed, GGA-PBEsol.

Output
The energy relative to the elements, uncorrected comes out at -5.98 eV per formula unit. The uncorrected energy is -172.06 eV/cell. The magnetic moment comes out at 0.00 μB/f.u.

abc: 4.839 5.576 12.111
angles: 90.00 90.00 90.00
Element x y z (fractional)
O: 0.331 0.243 0.830
O: 0.837 0.000 0.171
O: 0.331 0.757 0.170
O: 0.669 0.743 0.330
O: 0.834 0.500 0.171
O: 0.331 0.757 0.830
O: 0.669 0.257 0.330
O: 0.163 0.500 0.671
O: 0.669 0.743 0.670
O: 0.834 0.500 0.829
O: 0.166 0.000 0.329
O: 0.669 0.257 0.670
O: 0.166 0.000 0.671
O: 0.331 0.243 0.170
O: 0.163 0.500 0.329
O: 0.837 0.000 0.829
Co: 0.495 0.500 0.250
Co: 0.495 0.500 0.750
Co: 0.000 0.750 0.250
Co: 0.000 0.250 0.250
Co: 0.505 0.000 0.750
Co: 0.000 0.250 0.750
Co: 0.505 0.000 0.250
Co: 0.000 0.750 0.750
Hg: 0.149 0.000 0.500
Hg: 0.851 0.500 0.000
Hg: 0.825 0.500 0.500
Hg: 0.175 0.000 0.000

No. 6
LiCr2P: relaxed, GGA-PBEsol.

Output
For the formation energy, the calculation gives 0.023 eV per atom. The uncorrected energy is -28.15 eV/cell. The magnetic moment comes out at 0.26 μB/f.u.

abc: 3.678 3.427 3.427
angles: 90.00 90.00 90.00
Site moments in Bohr magnetons follow the coordinates.
Element x y z (fractional)
Cr: 0.000 0.000 0.500  0.12
Cr: 0.000 0.500 0.000  0.12
Li: 0.500 0.500 0.500  0.00
P: 0.500 0.000 0.000  0.00

No. 7
Tb2TeO2: relaxed, GGA-PBEsol.

Output
The energy relative to the elements, uncorrected comes out at -15.10 eV per formula unit. The uncorrected energy is -39.15 eV/cell. The magnetic moment comes out at 0.00 μB/f.u.

abc: 3.897 3.897 6.765
angles: 106.74 106.74 90.00
Element x y z (fractional)
Te: 0.000 0.000 0.000
Tb: 0.339 0.339 0.677
Tb: 0.661 0.661 0.323
O: 0.750 0.250 0.500
O: 0.250 0.750 0.500

No. 8
Ta2CdAs: relaxed, GGA-PBEsol.

Output
For the formation energy, the calculation gives 0.020 eV per atom. The uncorrected energy is -31.32 eV/cell. The magnetic moment comes out at 0.00 μB/f.u.

abc: 2.914 2.914 9.223
angles: 90.00 90.00 105.45
Element x y z (fractional)
Ta: 0.000 0.000 0.982
Ta: 0.500 0.500 0.747
Cd: 0.500 0.500 0.232
As: 0.000 0.000 0.538

No. 9
Mg3Cu3As4O16: relaxed, GGA-PBEsol.

Output
The energy relative to the elements, uncorrected comes out at -37.20 eV per formula unit. The uncorrected energy is -319.53 eV/cell. The magnetic moment comes out at 2.96 μB/f.u.

abc: 5.051 8.531 14.708
angles: 100.71 90.00 90.00
Site moments in Bohr magnetons follow the coordinates.
Element x y z (fractional)
O: 0.680 0.024 0.925  0.03
O: 0.294 0.986 0.413  0.12
O: 0.686 0.389 0.895  0.08
O: 0.706 0.014 0.587  0.12
O: 0.923 0.765 0.005  0.06
O: 0.824 0.107 0.131  0.04
O: 0.406 0.064 0.257  0.10
O: 0.320 0.976 0.075  0.03
O: 0.390 0.308 0.154  0.05
O: 0.820 0.524 0.425  0.03
O: 0.600 0.299 0.699  0.03
O: 0.577 0.265 0.505  0.06
O: 0.594 0.936 0.743  0.10
O: 0.794 0.514 0.087  0.12
O: 0.314 0.611 0.105  0.08
O: 0.400 0.701 0.301  0.03
O: 0.206 0.486 0.913  0.12
O: 0.906 0.436 0.243  0.10
O: 0.100 0.201 0.801  0.03
O: 0.900 0.799 0.199  0.03
O: 0.890 0.192 0.346  0.05
O: 0.814 0.889 0.395  0.08
O: 0.180 0.476 0.575  0.03
O: 0.110 0.808 0.654  0.05
O: 0.077 0.235 0.995  0.06
O: 0.186 0.111 0.605  0.08
O: 0.676 0.607 0.631  0.04
O: 0.176 0.893 0.869  0.04
O: 0.423 0.735 0.495  0.06
O: 0.610 0.692 0.846  0.05
O: 0.324 0.393 0.369  0.04
O: 0.094 0.564 0.757  0.10
As: 0.001 0.314 0.900  0.01
As: 0.990 0.389 0.350  0.00
As: 0.501 0.186 0.600  0.01
As: 0.999 0.686 0.100  0.01
As: 0.010 0.611 0.650  0.00
As: 0.499 0.814 0.400  0.01
As: 0.510 0.889 0.850  0.00
As: 0.490 0.111 0.150  0.00
Cu: 0.500 0.500 0.000  0.59
Cu: 0.504 0.173 0.377  0.61
Cu: 0.004 0.327 0.123  0.61
Cu: 0.996 0.673 0.877  0.61
Cu: 0.000 0.000 0.500  0.59
Cu: 0.496 0.827 0.623  0.61
Mg: 0.045 0.975 0.290  0.00
Mg: 0.955 0.025 0.710  0.00
Mg: 0.000 0.000 0.000  0.00
Mg: 0.545 0.525 0.210  0.00
Mg: 0.500 0.500 0.500  0.00
Mg: 0.455 0.475 0.790  0.00

No. 10
CdCoBi2: relaxed, GGA-PBEsol.

Output
For the formation energy, the calculation gives 0.205 eV per atom. The uncorrected energy is -33.37 eV/cell. The magnetic moment comes out at 0.00 μB/f.u.

abc: 8.834 6.738 8.834
angles: 49.04 90.00 130.96
Element x y z (fractional)
Co: 0.500 0.000 0.500
Co: 0.250 0.500 0.250
Bi: 0.505 0.750 0.375
Bi: 0.245 0.750 0.875
Bi: 0.875 0.250 0.505
Bi: 0.375 0.250 0.245
Cd: 0.000 0.000 0.000
Cd: 0.750 0.500 0.750

No. 11
MgTe2N: relaxed, GGA-PBEsol.

Output
The energy relative to the elements, uncorrected comes out at 2.91 eV per formula unit. The uncorrected energy is -14.39 eV/cell. The magnetic moment comes out at 0.00 μB/f.u.

abc: 3.262 3.262 9.393
angles: 80.00 80.00 60.00
Element x y z (fractional)
Te: 0.108 0.108 0.675
Te: 0.892 0.892 0.325
Mg: 0.000 0.000 0.000
N: 0.500 0.500 0.500

No. 12
BeInTe2: relaxed, GGA-PBEsol.

Output
The energy relative to the elements, uncorrected comes out at 1.22 eV per formula unit. The uncorrected energy is -12.81 eV/cell. The magnetic moment comes out at 0.00 μB/f.u.

abc: 3.458 3.458 7.769
angles: 90.00 90.00 90.00
Element x y z (fractional)
Te: 0.000 0.000 0.198
Te: 0.000 0.000 0.802
Be: 0.500 0.500 0.000
In: 0.500 0.500 0.500

No. 13
TbCr2Si2C: relaxed, GGA-PBEsol.

Output
The energy relative to the elements, uncorrected comes out at -3.24 eV per formula unit. The uncorrected energy is -49.87 eV/cell. The magnetic moment comes out at 0.92 μB/f.u.

abc: 3.918 3.918 5.195
angles: 90.00 90.00 90.00
Site moments in Bohr magnetons follow the coordinates.
Element x y z (fractional)
Cr: 0.500 0.000 0.000  0.50
Cr: 0.000 0.500 0.000  0.50
Si: 0.500 0.500 0.270  -0.01
Si: 0.500 0.500 0.730  -0.01
C: 0.000 0.000 0.000  -0.04
Tb: 0.000 0.000 0.500  -0.02

No. 14
NpSnRh2: relaxed, GGA-PBEsol.

Output
For the formation energy, the calculation gives -0.278 eV per atom. The uncorrected energy is -35.50 eV/cell. The magnetic moment comes out at 3.22 μB/f.u.

abc: 4.653 4.653 4.653
angles: 60.00 60.00 60.00
Site moments in Bohr magnetons follow the coordinates.
Element x y z (fractional)
Sn: 0.500 0.500 0.500  0.00
Np: 0.000 0.000 0.000  3.42
Rh: 0.750 0.750 0.750  -0.18
Rh: 0.250 0.250 0.250  -0.18

No. 15
Ce4Co2Sn5: relaxed, GGA-PBEsol.

Output
For the formation energy, the calculation gives -0.512 eV per atom. The uncorrected energy is -68.78 eV/cell. The magnetic moment comes out at 1.84 μB/f.u.

abc: 4.337 7.225 8.823
angles: 84.16 75.77 72.53
Site moments in Bohr magnetons follow the coordinates.
Element x y z (fractional)
Ce: 0.666 0.448 0.220  0.00
Ce: 0.068 0.087 0.778  -0.01
Ce: 0.334 0.552 0.780  0.00
Ce: 0.932 0.913 0.222  -0.01
Co: 0.236 0.182 0.346  0.42
Co: 0.764 0.818 0.654  0.42
Sn: 0.375 0.205 0.045  0.56
Sn: 0.000 0.500 0.500  -0.23
Sn: 0.350 0.825 0.475  -0.23
Sn: 0.650 0.175 0.525  -0.01
Sn: 0.625 0.795 0.955  0.56

No. 16
ScTiP2N: relaxed, GGA-PBEsol.

Output
The energy relative to the elements, uncorrected comes out at -1.31 eV per formula unit. The uncorrected energy is -36.34 eV/cell. The magnetic moment comes out at 0.00 μB/f.u.

abc: 3.777 4.704 4.704
angles: 90.00 90.00 90.00
Element x y z (fractional)
N: 0.500 0.000 0.000
P: 0.000 0.000 0.500
P: 0.000 0.500 0.000
Ti: 0.000 0.000 0.000
Sc: 0.500 0.500 0.500

No. 17
SnSe2F: relaxed, GGA-PBEsol.

Output
The energy relative to the elements, uncorrected comes out at -0.67 eV per formula unit. The uncorrected energy is -14.56 eV/cell. The magnetic moment comes out at 0.00 μB/f.u.

abc: 3.007 3.007 9.529
angles: 80.92 80.92 60.00
Element x y z (fractional)
Se: 0.097 0.097 0.708
Se: 0.903 0.903 0.292
F: 0.500 0.500 0.500
Sn: 0.000 0.000 0.000

No. 18
ZnAgPO4: relaxed, GGA-PBEsol.

Output
The energy relative to the elements, uncorrected comes out at -11.23 eV per formula unit. The uncorrected energy is -171.64 eV/cell. The magnetic moment comes out at 0.00 μB/f.u.

abc: 5.106 7.285 10.449
angles: 90.00 90.00 88.51
Element x y z (fractional)
P: 0.826 0.791 0.605
P: 0.674 0.709 0.105
P: 0.326 0.291 0.895
P: 0.174 0.209 0.395
Ag: 0.325 0.512 0.607
Ag: 0.675 0.488 0.393
Ag: 0.175 0.988 0.107
Ag: 0.825 0.012 0.893
O: 0.261 0.389 0.329
O: 0.628 0.305 0.880
O: 0.306 0.036 0.335
O: 0.194 0.464 0.835
O: 0.247 0.274 0.038
O: 0.747 0.774 0.462
O: 0.739 0.611 0.671
O: 0.239 0.111 0.829
O: 0.872 0.195 0.380
O: 0.761 0.889 0.171
O: 0.694 0.964 0.665
O: 0.253 0.226 0.538
O: 0.372 0.695 0.120
O: 0.753 0.726 0.962
O: 0.128 0.805 0.620
O: 0.806 0.536 0.165
Zn: 0.321 0.024 0.657
Zn: 0.679 0.976 0.343
Zn: 0.179 0.476 0.157
Zn: 0.821 0.524 0.843

No. 19
MgBe2Sb2: relaxed, GGA-PBEsol.

Output
The energy relative to the elements, uncorrected comes out at 0.83 eV per formula unit. The uncorrected energy is -18.00 eV/cell. The magnetic moment comes out at 0.00 μB/f.u.

abc: 3.741 3.741 7.585
angles: 104.28 104.28 90.00
Element x y z (fractional)
Sb: 0.368 0.368 0.735
Sb: 0.632 0.632 0.265
Mg: 0.000 0.000 0.000
Be: 0.750 0.250 0.500
Be: 0.250 0.750 0.500

No. 20
TlRe2Ag: relaxed, GGA-PBEsol.

Output
For the formation energy, the calculation gives 1.071 eV per atom. The uncorrected energy is -28.32 eV/cell. The magnetic moment comes out at 0.00 μB/f.u.

abc: 2.797 5.207 5.207
angles: 118.27 90.00 90.00
Element x y z (fractional)
Ag: 0.500 0.500 0.500
Re: 0.000 0.000 0.500
Re: 0.000 0.500 0.000
Tl: 0.500 0.000 0.000